An optimized crystal structure of Ca3V2Si3O12, computed with PBE with a Hubbard U.

```
Ca3V2Si3O12
1.0
-6.112 6.112 6.112
6.112 -6.112 6.112
6.112 6.112 -6.112
Ca V Si O
12 8 12 48
Direct
0.125 0.250 0.375 Ca
0.125 0.375 0.750 Ca
0.250 0.375 0.125 Ca
0.250 0.875 0.625 Ca
0.375 0.125 0.250 Ca
0.375 0.750 0.125 Ca
0.625 0.250 0.875 Ca
0.625 0.875 0.750 Ca
0.750 0.125 0.375 Ca
0.750 0.625 0.875 Ca
0.875 0.625 0.250 Ca
0.875 0.750 0.625 Ca
0.000 0.000 0.000 V
0.000 0.000 0.500 V
0.000 0.500 0.000 V
0.000 0.500 0.500 V
0.500 0.000 0.000 V
0.500 0.000 0.500 V
0.500 0.500 0.000 V
0.500 0.500 0.500 V
0.125 0.750 0.875 Si
0.125 0.875 0.250 Si
0.250 0.125 0.875 Si
0.250 0.625 0.375 Si
0.375 0.250 0.625 Si
0.375 0.625 0.750 Si
0.625 0.375 0.250 Si
0.625 0.750 0.375 Si
0.750 0.375 0.625 Si
0.750 0.875 0.125 Si
0.875 0.125 0.750 Si
0.875 0.250 0.125 Si
0.009 0.204 0.117 O
0.009 0.304 0.892 O
0.088 0.704 0.696 O
0.088 0.883 0.392 O
0.108 0.617 0.412 O
0.108 0.991 0.696 O
0.117 0.009 0.204 O
0.117 0.608 0.912 O
0.196 0.204 0.588 O
0.196 0.491 0.608 O
0.204 0.117 0.009 O
0.204 0.588 0.196 O
0.296 0.304 0.912 O
0.296 0.491 0.383 O
0.304 0.892 0.009 O
0.304 0.912 0.296 O
0.383 0.296 0.491 O
0.383 0.588 0.892 O
0.392 0.088 0.883 O
0.392 0.804 0.509 O
0.412 0.108 0.617 O
0.412 0.804 0.796 O
0.491 0.383 0.296 O
0.491 0.608 0.196 O
0.509 0.392 0.804 O
0.509 0.617 0.704 O
0.588 0.196 0.204 O
0.588 0.892 0.383 O
0.608 0.196 0.491 O
0.608 0.912 0.117 O
0.617 0.412 0.108 O
0.617 0.704 0.509 O
0.696 0.088 0.704 O
0.696 0.108 0.991 O
0.704 0.509 0.617 O
0.704 0.696 0.088 O
0.796 0.412 0.804 O
0.796 0.883 0.991 O
0.804 0.509 0.392 O
0.804 0.796 0.412 O
0.883 0.392 0.088 O
0.883 0.991 0.796 O
0.892 0.009 0.304 O
0.892 0.383 0.588 O
0.912 0.117 0.608 O
0.912 0.296 0.304 O
0.991 0.696 0.108 O
0.991 0.796 0.883 O
```

DOS at the Fermi energy (states/eV/atom): 0.523
Size of the total moment (μB/f.u.): 4.00
Raw total energy (eV/atom): -7.595